Crystalline Mg2ScBP at its relaxed geometry. Source: the Alexandria database, functional GGA-PBEsol.

Lattice parameters (Å, degrees): 4.645 4.645 4.853 90.00 90.00 90.00
Positions (direct):
Mg  0.000  0.500  0.000
Mg  0.500  0.000  0.000
Sc  0.000  0.000  0.500
B  0.500  0.500  0.500
P  0.000  0.000  0.000

Properties
volume: 104.7 Å³/f.u.
uncorrected energy: -0.299 Ry/atom

=====

Crystalline MgB2Pb at its relaxed geometry. Source: the Alexandria database, functional GGA-PBEsol.

Lattice parameters (Å, degrees): 4.447 4.447 4.447 60.00 60.00 60.00
Positions (direct):
Mg  0.000  0.000  0.000
B  0.250  0.250  0.250
B  0.750  0.750  0.750
Pb  0.500  0.500  0.500

Properties
volume: 62.2 Å³/f.u.
uncorrected energy: -0.265 Ry/atom

=====

Crystalline MgBPt3 at its relaxed geometry. Source: the Alexandria database, functional GGA-PBEsol.

Lattice parameters (Å, degrees): 4.168 4.168 4.168 90.00 90.00 90.00
Positions (direct):
Mg  0.000  0.000  0.000
B  0.500  0.500  0.500
Pt  0.000  0.500  0.500
Pt  0.500  0.000  0.500
Pt  0.500  0.500  0.000

Properties
volume: 72.4 Å³/f.u.
uncorrected energy: -0.469 Ry/atom